1.
First-principles (PBE-GGA) data for a geometry-optimized Y2IrO4 structure, as listed in the Open Quantum Materials Database.

Space-group type: No. 227
Calculated total energy, eV per atom: -7.984

a = 6.6943 Å, b = 6.6943 Å, c = 6.6943 Å
α = 60.00°, β = 60.00°, γ = 60.00°
With the nearest neighbours (Å) after each atom.
Element x y z (fractional)
Y: 0.0000 0.0000 0.0000  6 O 2.27
Y: 0.0000 0.0000 0.5000  6 O 2.27
Y: 0.0000 0.5000 0.0000  6 O 2.27
Y: 0.5000 0.0000 0.0000  6 O 2.27
Ir: 0.3750 0.3750 0.3750  4 O 2.22
Ir: 0.6250 0.6250 0.6250  4 O 2.22
O: 0.2187 0.7604 0.7604  1 Ir 2.22, 3 Y 2.27
O: 0.2396 0.2396 0.2396  1 Ir 2.22, 3 Y 2.27
O: 0.2396 0.2396 0.7813  1 Ir 2.22, 3 Y 2.27
O: 0.2396 0.7813 0.2396  1 Ir 2.22, 3 Y 2.27
O: 0.7604 0.2187 0.7604  1 Ir 2.22, 3 Y 2.27
O: 0.7604 0.7604 0.2187  1 Ir 2.22, 3 Y 2.27
O: 0.7604 0.7604 0.7604  1 Ir 2.22, 3 Y 2.27
O: 0.7813 0.2396 0.2396  1 Ir 2.22, 3 Y 2.27

2.
First-principles (PBE-GGA) data for a geometry-optimized SiW3N2 structure, as listed in the Open Quantum Materials Database.

Space-group type: No. 194
Calculated total energy, eV per atom: -10.014

a = 2.8253 Å, b = 2.8253 Å, c = 20.3605 Å
α = 90.00°, β = 90.00°, γ = 120.00°
With the nearest neighbours (Å) after each atom.
Element x y z (fractional)
Si: 0.0000 0.0000 0.2500  6 W 2.67, 6 Si 2.83
Si: 0.0000 0.0000 0.7500  6 W 2.67, 6 Si 2.83
W: 0.0000 0.0000 0.0000  6 N 2.23
W: 0.0000 0.0000 0.5000  6 N 2.23
W: 0.3333 0.6667 0.1461  3 N 2.18
W: 0.3333 0.6667 0.3539  3 N 2.18
W: 0.6667 0.3333 0.6461  3 N 2.18
W: 0.6667 0.3333 0.8539  3 N 2.18
N: 0.3333 0.6667 0.5748  6 W 2.18-2.23
N: 0.3333 0.6667 0.9252  6 W 2.18-2.23
N: 0.6667 0.3333 0.0748  6 W 2.18-2.23
N: 0.6667 0.3333 0.4252  6 W 2.18-2.23

3.
First-principles (PBE-GGA) data for a geometry-optimized Cu2Ag3 structure, as listed in the Open Quantum Materials Database.

Offset from the most stable computed form, meV/atom: 70
Space-group type: No. 166
Calculated formation energy, eV per atom: 0.102

a = 22.1604 Å, b = 22.1604 Å, c = 22.1604 Å
α = 7.41°, β = 7.41°, γ = 7.41°
With the nearest neighbours (Å) after each atom.
Element x y z (fractional)
Cu: 0.0000 0.0000 0.0000  6 Ag 2.70, 6 Cu 2.86
Cu: 0.1016 0.1016 0.1016  6 Ag 2.72, 6 Cu 2.86
Cu: 0.5000 0.5000 0.5000  6 Ag 2.72, 6 Cu 2.86
Cu: 0.8984 0.8984 0.8984  6 Ag 2.72, 6 Cu 2.86
Ag: 0.1992 0.1992 0.1992  6 Cu 2.72, 6 Ag 2.86
Ag: 0.3010 0.3010 0.3010  3 Cu 2.70, 9 Ag 2.86-2.95
Ag: 0.4024 0.4024 0.4024  3 Cu 2.72, 9 Ag 2.86-2.95
Ag: 0.5976 0.5976 0.5976  3 Cu 2.72, 9 Ag 2.86-2.95
Ag: 0.6990 0.6990 0.6990  3 Cu 2.70, 9 Ag 2.86-2.95
Ag: 0.8008 0.8008 0.8008  6 Cu 2.72, 6 Ag 2.86